Record 1
Below is a relaxed MgZrSb crystal, with properties calculated at the PBE level.

Properties
Uncorrected formation energy: -91 meV per atom
ΔE to the lowest computed polymorph: 456 meV per atom
D(E_F): 3.329 states/eV per cell
Volume: 67.8 Å³/f.u.

a b c (Å): 4.9675 4.9675 3.1711
angles (deg): 90.00 90.00 120.00
Space group P3m1 (No. 156)
One atom of each set of equivalent atoms:
Mg 0.0000 0.0000 0.0000 [1 per cell]
Zr 0.3333 0.6667 0.5207 [1 per cell]
Sb 0.6667 0.3333 0.1480 [1 per cell]

***

Record 2
Below is a relaxed MgZr2Sb crystal, with properties calculated at the PBE level.

Properties
Uncorrected formation energy: -271 meV per atom
D(E_F): 5.236 states/eV per cell
Volume: 91.4 Å³/f.u.

a b c (Å): 3.8323 3.8323 6.2246
angles (deg): 90.00 90.00 90.00
Space group P4mm (No. 99)
One atom of each set of equivalent atoms:
Mg 0.0000 0.0000 0.0000 [1 per cell]
Zr 0.0000 0.0000 0.5029 [1 per cell]
Zr 0.5000 0.5000 0.7441 [1 per cell]
Sb 0.5000 0.5000 0.2574 [1 per cell]

***

Record 3
Below is a relaxed MgZr2Sb crystal, with properties calculated at the PBE level.

Properties
Uncorrected formation energy: -295 meV per atom
D(E_F): 7.093 states/eV per cell
Volume: 88.6 Å³/f.u.

a b c (Å): 4.2637 4.2637 9.7498
angles (deg): 90.00 90.00 90.00
Space group I-4m2 (No. 119)
One atom of each set of equivalent atoms:
Mg 0.0000 0.0000 0.0000 [2 per cell]
Zr 0.0000 0.0000 0.5000 [2 per cell]
Zr 0.0000 0.5000 0.2500 [2 per cell]
Sb 0.0000 0.5000 0.7500 [2 per cell]

***

Record 4
Below is a relaxed MgZrSb2 crystal, with properties calculated at the PBE level.

Properties
Uncorrected formation energy: -326 meV per atom
D(E_F): 5.224 states/eV per cell
Volume: 93.7 Å³/f.u.

a b c (Å): 4.2103 4.2192 10.5522
angles (deg): 90.00 90.00 90.00
Space group Imm2 (No. 44)
One atom of each set of equivalent atoms:
Mg 0.0000 0.0000 0.0000 [2 per cell]
Zr 0.0000 0.5000 0.2495 [2 per cell]
Sb 0.0000 0.0000 0.5015 [2 per cell]
Sb 0.0000 0.5000 0.7511 [2 per cell]

***

Record 5
Below is a relaxed Mg2ZrSb crystal, with properties calculated at the PBE level.

Properties
Uncorrected formation energy: -95 meV per atom
D(E_F): 5.194 states/eV per cell
Volume: 95.1 Å³/f.u.

a b c (Å): 3.9879 4.9960 9.5479
angles (deg): 90.00 90.00 90.00
Space group Cmm2 (No. 35)
One atom of each set of equivalent atoms:
Mg 0.0000 0.0000 0.0000 [2 per cell]
Mg 0.0000 0.5000 0.2480 [2 per cell]
Zr 0.0000 0.5000 0.7497 [2 per cell]
Sb 0.0000 0.0000 0.5203 [2 per cell]

***

Record 6
Below is a relaxed MgZrSb2 crystal, with properties calculated at the PBE level.

Properties
Uncorrected formation energy: -133 meV per atom
D(E_F): 0.775 states/eV per cell
Volume: 104.9 Å³/f.u.

a b c (Å): 3.1444 3.1444 10.6112
angles (deg): 90.00 90.00 90.00
Space group P4mm (No. 99)
One atom of each set of equivalent atoms:
Mg 0.0000 0.0000 0.0000 [1 per cell]
Zr 0.5000 0.5000 0.7755 [1 per cell]
Sb 0.0000 0.0000 0.5612 [1 per cell]
Sb 0.5000 0.5000 0.2069 [1 per cell]

***

Record 7
Below is a relaxed MgZrSb2 crystal, with properties calculated at the PBE level.

Properties
Uncorrected formation energy: 120 meV per atom
D(E_F): 8.653 states/eV per cell
Volume: 96.8 Å³/f.u.

a b c (Å): 7.2894 7.2894 7.2894
angles (deg): 90.00 90.00 90.00
Space group F-43m (No. 216)
One atom of each set of equivalent atoms:
Mg 0.0000 0.0000 0.0000 [4 per cell]
Zr 0.2500 0.2500 0.2500 [4 per cell]
Sb 0.0000 0.0000 0.5000 [4 per cell]
Sb 0.2500 0.2500 0.7500 [4 per cell]

***

Record 8
Below is a relaxed Mg2ZrSb crystal, with properties calculated at the PBE level.

Properties
Uncorrected formation energy: -30 meV per atom
D(E_F): 3.372 states/eV per cell
Volume: 94.3 Å³/f.u.

a b c (Å): 3.1993 3.1993 9.2135
angles (deg): 90.00 90.00 90.00
Space group P4/mmm (No. 123)
One atom of each set of equivalent atoms:
Mg 0.0000 0.0000 0.2436 [2 per cell]
Zr 0.5000 0.5000 0.0000 [1 per cell]
Sb 0.5000 0.5000 0.5000 [1 per cell]

***

Record 9
Below is a relaxed MgZr2Sb crystal, with properties calculated at the PBE level.

Properties
Uncorrected formation energy: -125 meV per atom
D(E_F): 2.389 states/eV per cell
Volume: 95.7 Å³/f.u.

a b c (Å): 3.1945 3.1945 9.3766
angles (deg): 90.00 90.00 90.00
Space group P4mm (No. 99)
One atom of each set of equivalent atoms:
Mg 0.0000 0.0000 0.0000 [1 per cell]
Zr 0.0000 0.0000 0.5088 [1 per cell]
Zr 0.5000 0.5000 0.7475 [1 per cell]
Sb 0.5000 0.5000 0.2669 [1 per cell]

***

Record 10
Below is a relaxed MgZrSb4 crystal, with properties calculated at the PBE level.

Properties
Uncorrected formation energy: 328 meV per atom
D(E_F): 17.326 states/eV per cell
Volume: 163.4 Å³/f.u.

a b c (Å): 8.6780 8.6780 8.6780
angles (deg): 90.00 90.00 90.00
Space group F-43m (No. 216)
One atom of each set of equivalent atoms:
Mg 0.0000 0.0000 0.0000 [4 per cell]
Zr 0.2500 0.2500 0.2500 [4 per cell]
Sb 0.1245 0.1245 0.6245 [16 per cell]

***

Record 11
Below is a relaxed MgZr2Sb crystal, with properties calculated at the PBE level.

Properties
Uncorrected formation energy: -138 meV per atom
D(E_F): 8.806 states/eV per cell
Volume: 94.6 Å³/f.u.

a b c (Å): 4.0476 5.0676 9.2232
angles (deg): 90.00 90.00 90.00
Space group Cmm2 (No. 35)
One atom of each set of equivalent atoms:
Mg 0.0000 0.0000 0.0000 [2 per cell]
Zr 0.0000 0.0000 0.5065 [2 per cell]
Zr 0.0000 0.5000 0.2611 [2 per cell]
Sb 0.0000 0.5000 0.7441 [2 per cell]

***

Record 12
Below is a relaxed MgZrSb2 crystal, with properties calculated at the PBE level.

Properties
Uncorrected formation energy: -395 meV per atom
D(E_F): 4.695 states/eV per cell
Volume: 104.2 Å³/f.u.

a b c (Å): 4.1229 4.1229 21.2297
angles (deg): 90.00 90.00 120.00
Space group R-3m (No. 166, hexagonal axes)
One atom of each set of equivalent atoms:
Mg 0.0000 0.0000 0.0000 [3 per cell]
Zr 0.0000 0.0000 0.5000 [3 per cell]
Sb 0.0000 0.0000 0.2489 [6 per cell]

***

Record 13
Below is a relaxed MgZr2Sb crystal, with properties calculated at the PBE level.

Properties
Uncorrected formation energy: -324 meV per atom
D(E_F): 3.772 states/eV per cell
Volume: 89.3 Å³/f.u.

a b c (Å): 4.3164 3.7144 11.1418
angles (deg): 90.00 90.00 90.00
Space group Amm2 (No. 38)
One atom of each set of equivalent atoms:
Mg 0.0000 0.0000 0.0000 [2 per cell]
Zr 0.0000 0.0000 0.7407 [2 per cell]
Zr 0.5000 0.0000 0.4258 [2 per cell]
Sb 0.5000 0.0000 0.1574 [2 per cell]

***

Record 14
Below is a relaxed MgZrSb2 crystal, with properties calculated at the PBE level.

Properties
Uncorrected formation energy: -410 meV per atom
D(E_F): 2.533 states/eV per cell
Volume: 96.4 Å³/f.u.

a b c (Å): 5.7504 5.6808 7.2178
angles (deg): 90.00 125.17 90.00
Space group Pc (No. 7)
One atom of each set of equivalent atoms:
Mg 0.0000 0.0674 0.0000 [2 per cell]
Zr 0.5808 0.3774 0.1814 [2 per cell]
Sb 0.0798 0.4415 0.6592 [2 per cell]
Sb 0.5190 0.1080 0.5203 [2 per cell]

***

Record 15
Below is a relaxed MgZrSb crystal, with properties calculated at the PBE level.

Properties
Uncorrected formation energy: 121 meV per atom
ΔE to the lowest computed polymorph: 667 meV per atom
D(E_F): 13.613 states/eV per cell
Volume: 81.5 Å³/f.u.

a b c (Å): 6.8812 6.8812 6.8812
angles (deg): 90.00 90.00 90.00
Space group F-43m (No. 216)
One atom of each set of equivalent atoms:
Mg 0.0000 0.0000 0.0000 [4 per cell]
Zr 0.2500 0.2500 0.2500 [4 per cell]
Sb 0.0000 0.0000 0.5000 [4 per cell]

***

Record 16
Below is a relaxed MgZr2Sb crystal, with properties calculated at the PBE level.

Properties
Uncorrected formation energy: -174 meV per atom
D(E_F): 4.848 states/eV per cell
Volume: 91.2 Å³/f.u.

a b c (Å): 10.5009 3.1542 5.5813
angles (deg): 90.00 99.26 90.00
Space group C2/m (No. 12)
One atom of each set of equivalent atoms:
Mg 0.0000 0.0000 0.0000 [2 per cell]
Zr 0.2416 0.0000 0.7514 [4 per cell]
Sb 0.0000 0.5000 0.5000 [2 per cell]

***

Record 17
Below is a relaxed MgZrSb crystal, with properties calculated at the PBE level.

Properties
Uncorrected formation energy: -547 meV per atom
ΔE to the lowest computed polymorph: 0 meV per atom
D(E_F): 2.140 states/eV per cell
Volume: 70.8 Å³/f.u.

a b c (Å): 4.3713 4.3713 7.4059
angles (deg): 90.00 90.00 90.00
Space group P4/nmm (No. 129, origin choice 2)
One atom of each set of equivalent atoms:
Mg 0.2500 0.2500 0.1788 [2 per cell]
Zr 0.2500 0.7500 0.5000 [2 per cell]
Sb 0.2500 0.2500 0.7878 [2 per cell]

***

Record 18
Below is a relaxed MgZrSb2 crystal, with properties calculated at the PBE level.

Properties
Uncorrected formation energy: -382 meV per atom
D(E_F): 2.603 states/eV per cell
Volume: 102.6 Å³/f.u.

a b c (Å): 5.8385 5.8579 7.2474
angles (deg): 113.16 113.48 90.21
Space group P1 (No. 1)
One atom of each set of equivalent atoms:
Mg 0.0000 0.0000 0.0000 [1 per cell]
Mg 0.3766 0.8318 0.5488 [1 per cell]
Zr 0.5126 0.6251 0.0190 [1 per cell]
Zr 0.7570 0.3455 0.5465 [1 per cell]
Sb 0.0234 0.5255 0.0342 [1 per cell]
Sb 0.2590 0.3231 0.5255 [1 per cell]
Sb 0.5214 0.1226 0.0450 [1 per cell]
Sb 0.8486 0.8263 0.5090 [1 per cell]

***

Record 19
Below is a relaxed MgZrSb2 crystal, with properties calculated at the PBE level.

Properties
Uncorrected formation energy: -263 meV per atom
D(E_F): 7.036 states/eV per cell
Volume: 93.2 Å³/f.u.

a b c (Å): 4.1368 5.2618 8.5601
angles (deg): 90.00 90.00 90.00
Space group Immm (No. 71)
One atom of each set of equivalent atoms:
Mg 0.0000 0.0000 0.0000 [2 per cell]
Zr 0.0000 0.0000 0.5000 [2 per cell]
Sb 0.0000 0.5000 0.2572 [4 per cell]

***

Record 20
Below is a relaxed MgZrSb crystal, with properties calculated at the PBE level.

Properties
Uncorrected formation energy: 0 meV per atom
ΔE to the lowest computed polymorph: 547 meV per atom
D(E_F): 14.849 states/eV per cell
Volume: 76.6 Å³/f.u.

a b c (Å): 4.8553 4.8553 22.5219
angles (deg): 90.00 90.00 120.00
Space group R-3m (No. 166, hexagonal axes)
One atom of each set of equivalent atoms:
Mg 0.0000 0.0000 0.2049 [6 per cell]
Zr 0.0000 0.0000 0.3395 [6 per cell]
Sb 0.0000 0.0000 0.0734 [6 per cell]

***

Record 21
Below is a relaxed MgZr2Sb crystal, with properties calculated at the PBE level.

Properties
Uncorrected formation energy: -260 meV per atom
D(E_F): 5.946 states/eV per cell
Volume: 87.7 Å³/f.u.

a b c (Å): 6.2161 8.4520 3.3402
angles (deg): 90.00 91.11 90.00
Space group C2/m (No. 12)
One atom of each set of equivalent atoms:
Mg 0.0000 0.0000 0.0000 [2 per cell]
Zr 0.2500 0.2500 0.5000 [4 per cell]
Sb 0.0000 0.5000 0.0000 [2 per cell]

***

Record 22
Below is a relaxed MgZr2Sb crystal, with properties calculated at the PBE level.

Properties
Uncorrected formation energy: -22 meV per atom
D(E_F): 13.892 states/eV per cell
Volume: 95.7 Å³/f.u.

a b c (Å): 7.9638 7.9638 6.0372
angles (deg): 90.00 90.00 90.00
Space group I-42d (No. 122)
One atom of each set of equivalent atoms:
Mg 0.0000 0.0000 0.0000 [4 per cell]
Zr 0.2396 0.7500 0.6250 [8 per cell]
Sb 0.0000 0.0000 0.5000 [4 per cell]

***

Record 23
Below is a relaxed MgZr2Sb2 crystal, with properties calculated at the PBE level.

Properties
Uncorrected formation energy: -409 meV per atom
ΔE to the lowest computed polymorph: 90 meV per atom
D(E_F): 5.690 states/eV per cell
Volume: 120.2 Å³/f.u.

a b c (Å): 7.9748 7.9748 3.7793
angles (deg): 90.00 90.00 90.00
Space group P4/mbm (No. 127)
One atom of each set of equivalent atoms:
Mg 0.0000 0.0000 0.0000 [2 per cell]
Zr 0.1379 0.3621 0.0000 [4 per cell]
Sb 0.1570 0.6570 0.5000 [4 per cell]

***

Record 24
Below is a relaxed Mg2ZrSb crystal, with properties calculated at the PBE level.

Properties
Uncorrected formation energy: -5 meV per atom
D(E_F): 9.463 states/eV per cell
Volume: 94.5 Å³/f.u.

a b c (Å): 3.2767 3.2767 30.4744
angles (deg): 90.00 90.00 120.00
Space group R-3m (No. 166, hexagonal axes)
One atom of each set of equivalent atoms:
Mg 0.0000 0.0000 0.2482 [6 per cell]
Zr 0.0000 0.0000 0.0000 [3 per cell]
Sb 0.0000 0.0000 0.5000 [3 per cell]

***

Record 25
Below is a relaxed MgZrSb2 crystal, with properties calculated at the PBE level.

Properties
Uncorrected formation energy: -378 meV per atom
D(E_F): 3.674 states/eV per cell
Volume: 96.1 Å³/f.u.

a b c (Å): 5.8361 5.8892 6.0916
angles (deg): 100.30 97.82 107.59
Space group P-1 (No. 2)
One atom of each set of equivalent atoms:
Mg 0.2409 0.1533 0.3779 [2 per cell]
Zr 0.1712 0.7352 0.9315 [2 per cell]
Sb 0.2383 0.6574 0.4180 [2 per cell]
Sb 0.2916 0.2420 0.8809 [2 per cell]

***

Record 26
Below is a relaxed MgZrSb2 crystal, with properties calculated at the PBE level.

Properties
Uncorrected formation energy: -166 meV per atom
D(E_F): 5.938 states/eV per cell
Volume: 97.0 Å³/f.u.

a b c (Å): 10.0922 3.2929 5.9107
angles (deg): 90.00 99.02 90.00
Space group C2/m (No. 12)
One atom of each set of equivalent atoms:
Mg 0.0000 0.0000 0.0000 [2 per cell]
Zr 0.0000 0.5000 0.5000 [2 per cell]
Sb 0.2371 0.0000 0.7264 [4 per cell]

***

Record 27
Below is a relaxed MgZr2Sb2 crystal, with properties calculated at the PBE level.

Properties
Uncorrected formation energy: -499 meV per atom
ΔE to the lowest computed polymorph: 0 meV per atom
D(E_F): 1.883 states/eV per cell
Volume: 117.6 Å³/f.u.

a b c (Å): 7.8753 7.8753 3.7910
angles (deg): 90.00 90.00 90.00
Space group P4/mbm (No. 127)
One atom of each set of equivalent atoms:
Mg 0.0000 0.0000 0.0000 [2 per cell]
Zr 0.1411 0.3589 0.5000 [4 per cell]
Sb 0.1518 0.6518 0.0000 [4 per cell]

***

Record 28
Below is a relaxed MgZr2Sb crystal, with properties calculated at the PBE level.

Properties
Uncorrected formation energy: 53 meV per atom
D(E_F): 14.037 states/eV per cell
Volume: 88.5 Å³/f.u.

a b c (Å): 7.0750 7.0750 7.0750
angles (deg): 90.00 90.00 90.00
Space group F-43m (No. 216)
One atom of each set of equivalent atoms:
Mg 0.0000 0.0000 0.0000 [4 per cell]
Zr 0.0000 0.0000 0.5000 [4 per cell]
Zr 0.2500 0.2500 0.7500 [4 per cell]
Sb 0.2500 0.2500 0.2500 [4 per cell]

***

Record 29
Below is a relaxed Mg2ZrSb crystal, with properties calculated at the PBE level.

Properties
Uncorrected formation energy: 57 meV per atom
D(E_F): 11.767 states/eV per cell
Volume: 99.4 Å³/f.u.

a b c (Å): 8.3190 8.3190 5.7443
angles (deg): 90.00 90.00 90.00
Space group I-42d (No. 122)
One atom of each set of equivalent atoms:
Mg 0.2212 0.2500 0.1250 [8 per cell]
Zr 0.0000 0.0000 0.5000 [4 per cell]
Sb 0.0000 0.0000 0.0000 [4 per cell]